# PBE Li2PaSn, relaxed
# uncorrected energy = -4.22 eV per atom
# V = 93.8 Å³ per cell
data_Li2PaSn
_chemical_formula_sum 'Li2 Pa1 Sn1'
_cell_length_a 4.425
_cell_length_b 4.425
_cell_length_c 4.790
_cell_angle_alpha 90.00
_cell_angle_beta 90.00
_cell_angle_gamma 90.00
_symmetry_space_group_name_H-M 'P 1'
_symmetry_Int_Tables_number 1
loop_
_symmetry_equiv_pos_as_xyz
'x,y,z'
loop_
_atom_site_label
_atom_site_fract_x
_atom_site_fract_y
_atom_site_fract_z
Li1 0.000 0.500 0.000
Li2 0.500 0.000 0.000
Pa1 0.000 0.000 0.500
Sn1 0.500 0.500 0.500

# PBE LiPaSn2, relaxed
# uncorrected energy = -4.99 eV per atom
# V = 97.1 Å³ per cell
data_LiPaSn2
_chemical_formula_sum 'Li1 Pa1 Sn2'
_cell_length_a 5.761
_cell_length_b 5.761
_cell_length_c 5.761
_cell_angle_alpha 48.10
_cell_angle_beta 48.10
_cell_angle_gamma 48.10
_symmetry_space_group_name_H-M 'P 1'
_symmetry_Int_Tables_number 1
loop_
_symmetry_equiv_pos_as_xyz
'x,y,z'
loop_
_atom_site_label
_atom_site_fract_x
_atom_site_fract_y
_atom_site_fract_z
Li1 0.000 0.000 0.000
Pa1 0.500 0.500 0.500
Sn1 0.270 0.270 0.270
Sn2 0.730 0.730 0.730

# PBE LiPaSn2, relaxed
# uncorrected energy = -5.08 eV per atom
# V = 90.6 Å³ per cell
data_LiPaSn2
_chemical_formula_sum 'Li1 Pa1 Sn2'
_cell_length_a 3.461
_cell_length_b 3.461
_cell_length_c 7.560
_cell_angle_alpha 90.00
_cell_angle_beta 90.00
_cell_angle_gamma 90.00
_symmetry_space_group_name_H-M 'P 1'
_symmetry_Int_Tables_number 1
loop_
_symmetry_equiv_pos_as_xyz
'x,y,z'
loop_
_atom_site_label
_atom_site_fract_x
_atom_site_fract_y
_atom_site_fract_z
Li1 0.000 0.000 0.000
Pa1 0.000 0.000 0.500
Sn1 0.500 0.500 0.214
Sn2 0.500 0.500 0.786

# PBE Li2PaSn, relaxed
# uncorrected energy = -4.29 eV per atom
# V = 78.0 Å³ per cell
data_Li2PaSn
_chemical_formula_sum 'Li2 Pa1 Sn1'
_cell_length_a 4.795
_cell_length_b 4.795
_cell_length_c 4.795
_cell_angle_alpha 60.00
_cell_angle_beta 60.00
_cell_angle_gamma 60.00
_symmetry_space_group_name_H-M 'P 1'
_symmetry_Int_Tables_number 1
loop_
_symmetry_equiv_pos_as_xyz
'x,y,z'
loop_
_atom_site_label
_atom_site_fract_x
_atom_site_fract_y
_atom_site_fract_z
Li1 0.250 0.250 0.250
Li2 0.750 0.750 0.750
Pa1 0.000 0.000 0.000
Sn1 0.500 0.500 0.500

# PBE LiPaTcSn, relaxed
# uncorrected energy = -6.61 eV per atom
# V = 76.0 Å³ per cell
data_LiPaTcSn
_chemical_formula_sum 'Li1 Pa1 Tc1 Sn1'
_cell_length_a 4.754
_cell_length_b 4.754
_cell_length_c 4.754
_cell_angle_alpha 60.00
_cell_angle_beta 60.00
_cell_angle_gamma 60.00
_symmetry_space_group_name_H-M 'P 1'
_symmetry_Int_Tables_number 1
loop_
_symmetry_equiv_pos_as_xyz
'x,y,z'
loop_
_atom_site_label
_atom_site_fract_x
_atom_site_fract_y
_atom_site_fract_z
Li1 0.000 0.000 0.000
Pa1 0.750 0.750 0.750
Tc1 0.500 0.500 0.500
Sn1 0.250 0.250 0.250

# PBE Li2PaSnTe4, relaxed
# uncorrected energy = -4.47 eV per atom
# V = 237.3 Å³ per cell
data_Li2PaSnTe4
_chemical_formula_sum 'Li2 Pa1 Sn1 Te4'
_cell_length_a 7.388
_cell_length_b 4.362
_cell_length_c 7.828
_cell_angle_alpha 90.00
_cell_angle_beta 109.79
_cell_angle_gamma 90.00
_symmetry_space_group_name_H-M 'P 1'
_symmetry_Int_Tables_number 1
loop_
_symmetry_equiv_pos_as_xyz
'x,y,z'
loop_
_atom_site_label
_atom_site_fract_x
_atom_site_fract_y
_atom_site_fract_z
Li1 0.000 0.000 0.000
Li2 0.000 0.500 0.500
Pa1 0.500 0.000 0.500
Sn1 0.500 0.500 0.000
Te1 0.243 0.000 0.734
Te2 0.243 0.500 0.250
Te3 0.757 0.000 0.266
Te4 0.757 0.500 0.750